Computed, not measured: crystalline HfAsP at its relaxed geometry at the GGA-PBE level of DFT.

- Formation energy from the elements: -18.03 kcal/mol of atoms
- Offset from the most stable computed form: 48 meV/atom
- Symmetry: No. 129

Lattice parameters (Å, degrees): 3.6871 3.6871 7.9807 90.00 90.00 90.00
Closest atoms and distances in Å follow each position.
Sites, in units of the cell vectors:
Hf1 0.2500 0.2500 0.2179  5 P 2.69-2.72, 4 As 2.91
Hf2 0.7500 0.7500 0.7821  5 P 2.69-2.72, 4 As 2.91
As1 0.2500 0.7500 0.5000  4 As 2.61, 4 Hf 2.91
As2 0.7500 0.2500 0.5000  4 As 2.61, 4 Hf 2.91
P1 0.2500 0.2500 0.8809  5 Hf 2.69-2.72
P2 0.7500 0.7500 0.1191  5 Hf 2.69-2.72